Here is a geometry-optimized LaTb5Y6 structure from Alexandria via LeMat-Bulk. Energies are from PBE.

Structure (CIF):
```
data_LaTb5Y6
_chemical_formula_sum 'La1 Tb5 Y6'
_cell_length_a 11.8538
_cell_length_b 6.2084
_cell_length_c 6.2057
_cell_angle_alpha 59.99
_cell_angle_beta 85.01
_cell_angle_gamma 79.99
_symmetry_space_group_name_H-M 'P 1'
_symmetry_Int_Tables_number 1
_symmetry_space_group_name_Hall 'P 1'
loop_
_atom_site_label
_atom_site_type_symbol
_atom_site_fract_x
_atom_site_fract_y
_atom_site_fract_z
Y1 Y 0.7479 0.7488 0.0000
Y2 Y 0.2521 0.2512 0.0000
Y3 Y 0.7479 0.4179 0.6655
Y4 Y 0.2521 0.9166 0.6655
Y5 Y 0.2521 0.5821 0.3345
Y6 Y 0.7479 0.0834 0.3345
Tb1 Tb 0.5000 0.1670 0.6661
Tb2 Tb 0.5000 0.5000 0.0000
Tb3 Tb 0.0000 0.3334 0.3333
Tb4 Tb 0.0000 0.6666 0.6667
Tb5 Tb 0.5000 0.8330 0.3339
La1 La 0.0000 0.0000 0.0000
```

Results
The calculation puts the excess energy over the best structure of this formula in the dataset at 0.000 eV per atom. The calculation puts the total magnetization at 0.0 μB per formula unit.